(1)
## Pr8Cu2Ir (PBE)

Data for an optimized crystal structure of Pr8Cu2Ir.

Lattice parameters (Å, degrees): 9.4157 9.4157 6.9460 100.68 100.68 32.09
With the nearest neighbours (Å) after each atom.
Fractional positions:
Pr (0.0330, 0.0330, 0.2877)  1 Cu 2.96, 2 Ir 3.11
Pr (0.2014, 0.2014, 0.8374)  1 Cu 2.86
Pr (0.3368, 0.3368, 0.5309)  3 Cu 2.97-3.13, 1 Ir 3.00
Pr (0.4121, 0.4121, 0.0640)  1 Ir 3.14, 3 Pr 3.46-3.47
Pr (0.5879, 0.5879, 0.9360)  1 Ir 3.14, 3 Pr 3.46-3.47
Pr (0.6632, 0.6632, 0.4691)  3 Cu 2.97-3.13, 1 Ir 3.00
Pr (0.7986, 0.7986, 0.1626)  1 Cu 2.86
Pr (0.9670, 0.9670, 0.7123)  1 Cu 2.96, 2 Ir 3.11
Cu (0.1923, 0.1923, 0.2437)  5 Pr 2.86-3.13
Cu (0.8077, 0.8077, 0.7563)  5 Pr 2.86-3.13
Ir (0.5000, 0.5000, 0.5000)  8 Pr 3.00-3.14

Total energy: -5.1822 eV/atom
Space group: C2/m (12)

---

(2)
## Pr2Cu15Ir2 (PBE)

Data for an optimized crystal structure of Pr2Cu15Ir2.

Lattice parameters (Å, degrees): 6.5497 6.5497 6.5497 83.02 83.02 83.02
With the nearest neighbours (Å) after each atom.
Fractional positions:
Pr (0.1624, 0.1624, 0.1624)  1 Ir 2.97, 15 Cu 3.10-3.31
Pr (0.8376, 0.8376, 0.8376)  1 Ir 2.97, 15 Cu 3.10-3.31
Cu (0.0000, 0.5000, 0.5000)  8 Cu 2.48-2.51, 2 Ir 2.63
Cu (0.1519, 0.1519, 0.6510)  8 Cu 2.51-2.65, 1 Ir 2.69
Cu (0.1519, 0.6510, 0.1519)  8 Cu 2.51-2.65, 1 Ir 2.69
Cu (0.2110, 0.5000, 0.7890)  8 Cu 2.48-2.65
Cu (0.2110, 0.7890, 0.5000)  8 Cu 2.48-2.65
Cu (0.3490, 0.8481, 0.8481)  8 Cu 2.51-2.65, 1 Ir 2.69
Cu (0.5000, 0.0000, 0.5000)  8 Cu 2.48-2.51, 2 Ir 2.63
Cu (0.5000, 0.2110, 0.7890)  8 Cu 2.48-2.65
Cu (0.5000, 0.5000, 0.0000)  8 Cu 2.48-2.51, 2 Ir 2.63
Cu (0.5000, 0.7890, 0.2110)  8 Cu 2.48-2.65
Cu (0.6510, 0.1519, 0.1519)  8 Cu 2.51-2.65, 1 Ir 2.69
Cu (0.7890, 0.2110, 0.5000)  8 Cu 2.48-2.65
Cu (0.7890, 0.5000, 0.2110)  8 Cu 2.48-2.65
Cu (0.8481, 0.3490, 0.8481)  8 Cu 2.51-2.65, 1 Ir 2.69
Cu (0.8481, 0.8481, 0.3490)  8 Cu 2.51-2.65, 1 Ir 2.69
Ir (0.3969, 0.3969, 0.3969)  1 Ir 2.61, 12 Cu 2.63-2.83
Ir (0.6031, 0.6031, 0.6031)  1 Ir 2.61, 12 Cu 2.63-2.83

Total energy: -4.7703 eV/atom
Space group: R-3m (166)

---

(3)
## Pr8CuIr5 (PBE)

Data for an optimized crystal structure of Pr8CuIr5.

Lattice parameters (Å, degrees): 7.7836 7.7836 7.7836 109.36 109.36 109.70
With the nearest neighbours (Å) after each atom.
Fractional positions:
Pr (0.2519, 0.4990, 0.1201)  2 Ir 2.88-2.89, 1 Cu 2.96
Pr (0.3778, 0.1313, 0.3684)  3 Ir 2.87-2.92
Pr (0.3789, 0.1317, 0.8799)  2 Ir 2.88-2.89, 1 Cu 2.96
Pr (0.5010, 0.6211, 0.7528)  2 Ir 2.88-2.89, 1 Cu 2.96
Pr (0.7629, 0.0094, 0.6316)  3 Ir 2.87-2.92
Pr (0.8683, 0.7481, 0.2472)  2 Ir 2.88-2.89, 1 Cu 2.96
Pr (0.8687, 0.2371, 0.2465)  3 Ir 2.87-2.92
Pr (0.9906, 0.6222, 0.7535)  3 Ir 2.87-2.92
Cu (0.2500, 0.7500, 0.5000)  4 Pr 2.96
Ir (0.0000, 0.0000, 0.0000)  4 Pr 2.89
Ir (0.1301, 0.2464, 0.6221)  4 Pr 2.87-2.92
Ir (0.4920, 0.8699, 0.1163)  4 Pr 2.87-2.92
Ir (0.6243, 0.5080, 0.3779)  4 Pr 2.87-2.92
Ir (0.7536, 0.3757, 0.8837)  4 Pr 2.87-2.92

Total energy: -6.6930 eV/atom
Space group: I-4 (82)

---

Number 1: total magnetization 0.000 μB per atom, ΔH_f (0 K) -0.16 eV/atom, density 7.5 Mg/m³. Number 2: total magnetization 0.000 μB per atom, ΔH_f (0 K) -0.10 eV/atom, density 9.8 Mg/m³. Number 3: total magnetization 0.000 μB per atom, ΔH_f (0 K) -0.50 eV/atom, density 9.8 Mg/m³.